## KLa2MgOs (PBE)

Data for an optimized crystal structure of KLa2MgOs.

Calculated values
Space-group type: No. 123
Crystal system: tetragonal

Lattice parameters (Å, degrees): 5.593 5.593 5.543 90.00 90.00 90.00
Positions (direct):
Mg  0.000  0.000  0.500
La  0.000  0.500  0.000
La  0.500  0.000  0.000
Os  0.000  0.000  0.000
K  0.500  0.500  0.500

***

## Hf3Sc2TiN6 (PBE)

Data for an optimized crystal structure of Hf3Sc2TiN6.

Calculated values
Space-group type: No. 12
Formation energy without anion corrections, eV/f.u.: -22.1
Crystal system: monoclinic

Lattice parameters (Å, degrees): 3.174 6.334 7.104 102.63 102.91 90.00
Positions (direct):
Ti  0.500  0.000  0.000
Sc  0.835  0.670  0.670
Sc  0.165  0.330  0.330
Hf  0.165  0.836  0.331
Hf  0.500  0.500  0.000
Hf  0.835  0.164  0.669
N  0.001  0.752  0.002
N  0.334  0.918  0.667
N  0.999  0.248  0.998
N  0.335  0.413  0.669
N  0.665  0.587  0.331
N  0.666  0.082  0.333

***

So what do the calculations give for raw total energy? Going down the list: -4.6907 -10.2075 eV/atom.
So what do the calculations give for N(E_F)? Going down the list: 3.62 2.92 states/eV/cell.